(1)
A plane-wave DFT calculation with PBEsol was carried out for TlCr3O8 after structural relaxation.

symmetry = C2/m, No. 12
N(E_F) = 0.38 states/eV/cell
magnetization = 0.25 μB per atom
E = -7.983 eV per atom

abc: 5.100 5.100 7.671
angles: 93.84 93.84 64.23
Positions (direct):
Tl: 0.000 0.000 0.000
Cr: 0.000 0.000 0.500
Cr: 0.369 0.369 0.704
Cr: 0.631 0.631 0.296
O: 0.216 0.216 0.562
O: 0.222 0.730 0.676
O: 0.270 0.778 0.324
O: 0.321 0.321 0.902
O: 0.679 0.679 0.098
O: 0.730 0.222 0.676
O: 0.778 0.270 0.324
O: 0.784 0.784 0.438

---

(2)
A plane-wave DFT calculation with PBEsol was carried out for CaZnW2 after structural relaxation.

calculated formation energy = 681 meV/atom
symmetry = P2/m, No. 10
N(E_F) = 3.25 states/eV/cell
magnetization = 0.00 μB per atom
E = -7.151 eV per atom

abc: 2.726 5.008 5.113
angles: 90.00 94.32 90.00
Positions (direct):
Ca: 0.000 0.000 0.000
Zn: 0.500 0.000 0.500
W: 0.337 0.500 0.750
W: 0.663 0.500 0.250

---

What is the N(E_F) in the first record? 0.38 states/eV/cell

---

Which of these has the lowest magnetization? CaZnW2